! Tl3Te PBE optimized geometry; values from VASP
&SYSTEM
  ibrav = 0, nat = 16, ntyp = 2
/
ATOMIC_SPECIES
Te 127.60 Te.upf
Tl 204.38 Tl.upf
CELL_PARAMETERS angstrom
7.192 0.000 0.000
-3.596 6.228 0.000
0.000 0.000 11.681
ATOMIC_POSITIONS angstrom
Te 0.000 0.000 0.000
Te 0.000 0.000 5.841
Te 0.000 4.152 2.920
Te 3.596 2.076 8.761
Tl 3.596 0.000 0.000
Tl 3.596 0.000 5.841
Tl -1.798 3.114 0.000
Tl 1.798 3.114 0.000
Tl 1.798 3.114 5.841
Tl -1.798 3.114 5.841
Tl 3.596 4.194 2.920
Tl 0.000 2.034 8.761
Tl 1.761 1.017 2.920
Tl 5.430 1.017 2.920
Tl -1.835 5.211 8.761
Tl 1.835 5.211 8.761
! - Space-group type: No. 194
! - Energy above the most stable polymorph in this dataset: 0.008 eV/atom
! - E_form (uncorrected): -0.8 eV per formula unit